Entry from Alexandria: a geometry-optimized NaBeBr2 structure (GGA-PBE).

formation energy (no corrections): -0.485 eV/atom
energy above the most stable polymorph in this dataset: 0.0 meV per atom

POSCAR file:
```
NaBeBr2
1.0
1.762 1.017 11.219
-1.762 1.017 11.219
0.000 -2.034 11.219
Na Be Br
1 1 2
Direct
0.000 0.000 0.000 Na
0.500 0.500 0.500 Be
0.126 0.126 0.126 Br
0.874 0.874 0.874 Br
```